[1]
An optimized crystal structure of BAu, computed with PBE-GGA.

Calculated values
Calculated density ... 13.4 Mg/m³
Raw total energy ... -0.289 Ry per atom

Lattice parameters (Å, degrees): 3.4531 3.4531 3.4531 55.12 55.12 55.12
Fractional coordinates of all 2 atoms:
1 B 0.0000 0.0000 0.0000
2 Au 0.5000 0.5000 0.5000

***

[2]
An optimized crystal structure of LuFeMo, computed with PBE-GGA.

Calculated values
Calculated density ... 8.8 Mg/m³
Formation energy ... 1526 meV/atom

Lattice parameters (Å, degrees): 4.4413 4.4413 4.4413 60.00 60.00 60.00
Fractional coordinates of all 3 atoms:
1 Lu 0.0000 0.0000 0.0000
2 Fe 0.7500 0.7500 0.7500
3 Mo 0.2500 0.2500 0.2500

***

[3]
An optimized crystal structure of GdYCd6, computed with PBE-GGA.

Calculated values
Calculated density ... 8.3 Mg/m³
Formation energy ... -294 meV/atom

Lattice parameters (Å, degrees): 5.0767 7.1484 5.0770 90.00 90.00 90.00
Fractional coordinates of all 8 atoms:
1 Gd 0.0000 0.0000 0.0000
2 Y 0.5000 0.5000 0.4912
3 Cd 0.0000 0.2505 0.5006
4 Cd 0.0000 0.5000 0.9996
5 Cd 0.0000 0.7495 0.5006
6 Cd 0.5000 0.0000 0.4918
7 Cd 0.5000 0.2505 0.9908
8 Cd 0.5000 0.7495 0.9908

***

[4]
An optimized crystal structure of TbInHgTe3, computed with PBE-GGA.

Calculated values
Calculated density ... 7.0 Mg/m³
Polymorph energy (0 for the lowest one) ... 37.4 meV/atom

Lattice parameters (Å, degrees): 8.6418 4.4366 11.0672 90.00 107.12 90.00
Fractional coordinates of all 12 atoms:
1 Tb 0.1916 0.2500 0.1450
2 Tb 0.8084 0.7500 0.8550
3 In 0.2363 0.7500 0.7135
4 In 0.7637 0.2500 0.2865
5 Hg 0.4135 0.7500 0.3819
6 Hg 0.5865 0.2500 0.6181
7 Te 0.0600 0.2500 0.8558
8 Te 0.2378 0.2500 0.4470
9 Te 0.4428 0.7500 0.1354
10 Te 0.5572 0.2500 0.8646
11 Te 0.7622 0.7500 0.5530
12 Te 0.9400 0.7500 0.1442

***

[5]
An optimized crystal structure of TlAg17, computed with PBE-GGA.

Calculated values
Calculated density ... 7.9 Mg/m³
Raw total energy ... -0.201 Ry per atom

Lattice parameters (Å, degrees): 5.0189 5.8115 29.4677 90.00 90.03 90.00
Fractional coordinates of all 36 atoms:
1 Tl 0.1675 0.2500 0.1493
2 Tl 0.8325 0.7500 0.8507
3 Ag 0.0000 0.0000 0.5000
4 Ag 0.0000 0.5000 0.5000
5 Ag 0.0008 0.0023 0.2563
6 Ag 0.0008 0.4977 0.2563
7 Ag 0.1673 0.2500 0.4189
8 Ag 0.1666 0.7500 0.1750
9 Ag 0.1666 0.7500 0.4189
10 Ag 0.1670 0.7500 0.6620
11 Ag 0.1677 0.2500 0.6623
12 Ag 0.3331 0.9998 0.3377
13 Ag 0.3333 0.0005 0.5810
14 Ag 0.3330 0.0013 0.8250
15 Ag 0.3330 0.4987 0.8250
16 Ag 0.3331 0.5002 0.3377
17 Ag 0.3333 0.4995 0.5810
18 Ag 0.4987 0.2500 0.2562
19 Ag 0.4995 0.7500 0.2564
20 Ag 0.5004 0.2500 0.4999
21 Ag 0.4996 0.7500 0.5001
22 Ag 0.5005 0.2500 0.7436
23 Ag 0.5013 0.7500 0.7438
24 Ag 0.6667 0.9995 0.4190
25 Ag 0.6669 0.0002 0.6623
26 Ag 0.6667 0.5005 0.4190
27 Ag 0.6669 0.4998 0.6623
28 Ag 0.6670 0.5013 0.1750
29 Ag 0.6670 0.9987 0.1750
30 Ag 0.8323 0.7500 0.3377
31 Ag 0.8330 0.2500 0.3380
32 Ag 0.8334 0.2500 0.5811
33 Ag 0.8334 0.2500 0.8250
34 Ag 0.8327 0.7500 0.5811
35 Ag 0.9992 0.5023 0.7437
36 Ag 0.9992 0.9977 0.7437

***

[6]
An optimized crystal structure of Tm2Ni3Sn2Pt, computed with PBE-GGA.

Calculated values
Calculated density ... 10.9 Mg/m³
Raw total energy ... -0.414 Ry per atom

Lattice parameters (Å, degrees): 4.3963 4.3963 8.6412 90.00 90.00 120.00
Fractional coordinates of all 8 atoms:
1 Tm 0.0000 0.0000 0.0000
2 Tm 0.3333 0.6667 0.5083
3 Ni 0.0000 0.0000 0.6764
4 Ni 0.3333 0.6667 0.1615
5 Ni 0.3333 0.6667 0.8389
6 Sn 0.6667 0.3333 0.2357
7 Sn 0.6667 0.3333 0.7589
8 Pt 0.0000 0.0000 0.3504

***

[7]
An optimized crystal structure of CuAg4, computed with PBE-GGA.

Calculated values
Calculated density ... 9.8 Mg/m³
Polymorph energy (0 for the lowest one) ... 30.4 meV/atom
Formation energy ... 55 meV/atom

Lattice parameters (Å, degrees): 4.9826 4.9826 9.0855 90.08 90.08 48.21
Fractional coordinates of all 10 atoms:
1 Cu 0.2062 0.2062 0.0921
2 Cu 0.7938 0.7938 0.9079
3 Ag 0.0000 0.0000 0.5000
4 Ag 0.1010 0.1010 0.8115
5 Ag 0.3006 0.3006 0.3935
6 Ag 0.3962 0.3962 0.7074
7 Ag 0.5000 0.5000 0.0000
8 Ag 0.6038 0.6038 0.2926
9 Ag 0.6994 0.6994 0.6065
10 Ag 0.8990 0.8990 0.1885

***

[8]
An optimized crystal structure of Nb3TlAs5, computed with PBE-GGA.

Calculated values
Calculated density ... 6.7 Mg/m³
Raw total energy ... -0.470 Ry per atom

Lattice parameters (Å, degrees): 5.6298 5.6298 7.7903 90.00 90.00 120.00
Fractional coordinates of all 9 atoms:
1 Nb 0.0000 0.5000 0.0000
2 Nb 0.5000 0.0000 0.0000
3 Nb 0.5000 0.5000 0.0000
4 Tl 0.0000 0.0000 0.5000
5 As 0.0000 0.0000 0.0000
6 As 0.3333 0.6667 0.2741
7 As 0.3333 0.6667 0.7259
8 As 0.6667 0.3333 0.2741
9 As 0.6667 0.3333 0.7259